Entry 1:
Here is LiOsAu2 after structural relaxation from Alexandria. Energies are from GGA-PBE.

Output
V = 64 Å³/cell
E above lowest polymorph = 8 meV/atom

a = 4.8432 Å, b = 4.8432 Å, c = 2.7234 Å
α = 90.00°, β = 90.00°, γ = 90.00°
Space group P4/mmm (No. 123)
Symmetry-distinct sites (fractional):
Li (0.0000, 0.0000, 0.0000) [1 per cell]
Os (0.5000, 0.5000, 0.0000) [1 per cell]
Au (0.0000, 0.5000, 0.5000) [2 per cell]

---

Entry 2:
Here is Li2OsAu after structural relaxation from Alexandria. Energies are from GGA-PBE.

Output
V = 114 Å³/cell
E above lowest polymorph = 380 meV/atom

a = 3.7690 Å, b = 3.7690 Å, c = 8.0142 Å
α = 90.00°, β = 90.00°, γ = 90.00°
Space group I-4m2 (No. 119)
Symmetry-distinct sites (fractional):
Li (0.0000, 0.0000, 0.0000) [2 per cell]
Li (0.0000, 0.5000, 0.2500) [2 per cell]
Os (0.0000, 0.5000, 0.7500) [2 per cell]
Au (0.0000, 0.0000, 0.5000) [2 per cell]

---

Entry 3:
Here is Li2OsAu after structural relaxation from Alexandria. Energies are from GGA-PBE.

Output
V = 58 Å³/cell
E above lowest polymorph = 52 meV/atom

a = 2.6414 Å, b = 2.6414 Å, c = 8.3722 Å
α = 90.00°, β = 90.00°, γ = 90.00°
Space group P4/mmm (No. 123)
Symmetry-distinct sites (fractional):
Li (0.0000, 0.0000, 0.2467) [2 per cell]
Os (0.5000, 0.5000, 0.0000) [1 per cell]
Au (0.5000, 0.5000, 0.5000) [1 per cell]

---

Entry 4:
Here is LiOsAu2 after structural relaxation from Alexandria. Energies are from GGA-PBE.

Output
V = 129 Å³/cell
E above lowest polymorph = 181 meV/atom

a = 2.6994 Å, b = 4.8460 Å, c = 9.8894 Å
α = 90.00°, β = 90.00°, γ = 90.00°
Space group Imm2 (No. 44)
Symmetry-distinct sites (fractional):
Li (0.0000, 0.0000, 0.0000) [2 per cell]
Os (0.0000, 0.5000, 0.7528) [2 per cell]
Au (0.0000, 0.0000, 0.4967) [2 per cell]
Au (0.0000, 0.5000, 0.2570) [2 per cell]

---

Entry 5:
Here is Li2OsAu after structural relaxation from Alexandria. Energies are from GGA-PBE.

Output
V = 212 Å³/cell
E above lowest polymorph = 421 meV/atom

a = 5.9656 Å, b = 5.9656 Å, c = 5.9656 Å
α = 90.00°, β = 90.00°, γ = 90.00°
Space group Fm-3m (No. 225)
Symmetry-distinct sites (fractional):
Li (0.2500, 0.2500, 0.2500) [8 per cell]
Os (0.0000, 0.0000, 0.0000) [4 per cell]
Au (0.0000, 0.0000, 0.5000) [4 per cell]

---

Entry 6:
Here is LiOs2PtAu after structural relaxation from Alexandria. Energies are from GGA-PBE.

Output
V = 73 Å³/cell

a = 4.1894 Å, b = 4.1894 Å, c = 4.1644 Å
α = 90.00°, β = 90.00°, γ = 90.00°
Space group P4/mmm (No. 123)
Symmetry-distinct sites (fractional):
Li (0.0000, 0.0000, 0.0000) [1 per cell]
Os (0.0000, 0.5000, 0.0000) [2 per cell]
Pt (0.0000, 0.0000, 0.5000) [1 per cell]
Au (0.5000, 0.5000, 0.5000) [1 per cell]

---

Entry 7:
Here is LiSbOs2Au after structural relaxation from Alexandria. Energies are from GGA-PBE.

Output
V = 110 Å³/cell
energy relative to the elements, uncorrected = 1617 meV per atom

a = 4.8451 Å, b = 4.8451 Å, c = 4.6771 Å
α = 90.00°, β = 90.00°, γ = 90.00°
Space group P4/mmm (No. 123)
Symmetry-distinct sites (fractional):
Li (0.0000, 0.0000, 0.0000) [1 per cell]
Sb (0.0000, 0.0000, 0.5000) [1 per cell]
Os (0.0000, 0.5000, 0.5000) [2 per cell]
Au (0.5000, 0.5000, 0.0000) [1 per cell]

---

Entry 8:
Here is LiSc2OsAu after structural relaxation from Alexandria. Energies are from GGA-PBE.

Output
V = 90 Å³/cell
E above lowest polymorph = 329 meV/atom

a = 4.7051 Å, b = 4.7051 Å, c = 4.0636 Å
α = 90.00°, β = 90.00°, γ = 90.00°
Space group P4/mmm (No. 123)
Symmetry-distinct sites (fractional):
Li (0.0000, 0.0000, 0.0000) [1 per cell]
Sc (0.0000, 0.5000, 0.0000) [2 per cell]
Os (0.0000, 0.0000, 0.5000) [1 per cell]
Au (0.5000, 0.5000, 0.5000) [1 per cell]

---

The records above yield calculated total energy values of -19.4, -33.9, -18.3, -37.5, -67.2, -27.4, -23.7, -26.7 eV/cell, respectively.
The records above yield size of the total moment values of 0.00, 0.83, 0.15, 0.00, 0.00, 0.00, 1.45, 0.00 μB per formula unit, respectively.